AcAg4P2 after structural relaxation, computed with PBE-GGA.

The raw total energy comes out at -57.84 eV/cell.

a = 8.0814 Å, b = 8.0814 Å, c = 4.3000 Å
α = 90.00°, β = 90.00°, γ = 90.00°
With the nearest neighbours (Å) after each atom.
Space group P4_2/mnm (No. 136)
Unique sites:
Ac: 0.0000 0.0000 0.0000 [2 per cell]  6 P 3.22-3.32, 12 Ag 3.55-3.59
Ag: 0.0862 0.3386 0.5000 [8 per cell]  3 P 2.61-2.74, 1 Ag 2.89
P: 0.2098 0.7902 0.5000 [4 per cell]  6 Ag 2.61-2.74